No. 1
Crystalline HgPdS at its relaxed geometry, computed with PBE-GGA.

Computed properties:
* formation energy (no corrections): -61 meV per atom
* ΔE to the lowest computed polymorph: 150.9 meV per atom

The structure in POSCAR format:
```
HgPdS
1.0
6.053 0.000 0.000
0.000 6.363 0.000
-2.063 0.000 6.547
Hg Pd S
4 4 4
direct
0.243 0.095 0.311
0.243 0.405 0.811
0.757 0.595 0.189
0.757 0.905 0.689
0.299 0.745 0.081
0.299 0.755 0.581
0.701 0.245 0.419
0.701 0.255 0.919
0.216 0.516 0.311
0.216 0.984 0.811
0.784 0.016 0.189
0.784 0.484 0.689
```

No. 2
Crystalline CaTi2N3 at its relaxed geometry, computed with PBE-GGA.

Computed properties:
* formation energy (no corrections): -1487 meV per atom

The structure in POSCAR format:
```
CaTi2N3
1.0
-1.673 2.089 5.174
1.673 -2.089 5.174
1.673 2.089 -5.174
Ca Ti N
1 2 3
direct
0.000 0.000 0.000
0.312 0.312 0.000
0.688 0.688 0.000
0.202 0.702 0.500
0.500 0.500 0.000
0.798 0.298 0.500
```

No. 3
Crystalline Pm6Ho3Th at its relaxed geometry, computed with PBE-GGA.

Computed properties:
* energy relative to the elements: 0.082 eV per atom

The structure in POSCAR format:
```
Pm6Ho3Th
1.0
13.247 0.000 0.000
0.000 3.548 0.000
-2.660 0.000 14.245
Pm Ho Th
12 6 2
direct
0.000 0.250 0.190
0.000 0.750 0.810
0.155 0.750 0.380
0.228 0.250 0.798
0.279 0.250 0.213
0.311 0.250 0.580
0.377 0.750 0.016
0.623 0.250 0.984
0.689 0.750 0.420
0.721 0.750 0.787
0.772 0.750 0.202
0.845 0.250 0.620
0.077 0.750 0.596
0.124 0.250 0.001
0.426 0.750 0.400
0.574 0.250 0.600
0.876 0.750 0.999
0.923 0.250 0.404
0.464 0.750 0.777
0.536 0.250 0.223
```

No. 4
Crystalline BaMgZr2Cl at its relaxed geometry, computed with PBE-GGA.

Computed properties:
* formation energy (no corrections): 53 meV per atom

The structure in POSCAR format:
```
BaMgZr2Cl
1.0
4.954 0.000 0.000
0.000 4.954 0.000
0.000 0.000 5.780
Ba Mg Zr Cl
1 1 2 1
direct
0.000 0.000 0.000
0.500 0.500 0.000
0.000 0.500 0.500
0.500 0.000 0.500
0.000 0.000 0.500
```

No. 5
Crystalline Ac2Bi3Rh4Pb at its relaxed geometry, computed with PBE-GGA.

Computed properties:
* energy relative to the elements: -0.503 eV per atom

The structure in POSCAR format:
```
Ac2Bi3Rh4Pb
1.0
4.747 0.000 0.000
0.000 4.747 0.000
0.000 0.000 10.964
Ac Bi Rh Pb
2 3 4 1
direct
0.000 0.500 0.244
0.500 0.000 0.756
0.000 0.500 0.875
0.500 0.000 0.125
0.500 0.500 0.500
0.000 0.000 0.000
0.000 0.500 0.632
0.500 0.000 0.368
0.500 0.500 0.000
0.000 0.000 0.500
```

No. 6
Crystalline Al4PbN2 at its relaxed geometry, computed with PBE-GGA.

Computed properties:
* formation energy (no corrections): 706 meV per atom

The structure in POSCAR format:
```
Al4PbN2
1.0
-2.783 2.783 5.322
2.783 -2.783 5.322
2.783 2.783 -5.322
Al Pb N
4 1 2
direct
0.000 0.500 0.500
0.225 0.225 0.000
0.500 0.000 0.500
0.775 0.775 0.000
0.500 0.500 0.000
0.060 0.060 0.000
0.940 0.940 0.000
```

No. 7
Crystalline Nd8Sm2Tl at its relaxed geometry, computed with PBE-GGA.

Computed properties:
* ΔE to the lowest computed polymorph: 0.0 meV per atom
* energy relative to the elements: -0.042 eV per atom

The structure in POSCAR format:
```
Nd8Sm2Tl
1.0
9.267 -2.546 0.000
9.267 2.546 0.000
-2.172 0.000 7.853
Nd Sm Tl
8 2 1
direct
0.044 0.044 0.227
0.137 0.137 0.679
0.321 0.321 0.592
0.410 0.410 0.058
0.590 0.590 0.942
0.679 0.679 0.408
0.863 0.863 0.321
0.956 0.956 0.773
0.224 0.224 0.134
0.776 0.776 0.866
0.500 0.500 0.500
```

No. 8
Crystalline PuTh8 at its relaxed geometry, computed with PBE-GGA.

Computed properties:
* energy relative to the elements: 0.119 eV per atom

The structure in POSCAR format:
```
PuTh8
1.0
-6.351 6.351 1.751
6.351 -6.351 1.751
6.351 6.351 -1.751
Pu Th
1 8
direct
0.000 0.000 0.000
0.000 0.334 0.334
0.000 0.666 0.666
0.334 0.000 0.334
0.338 0.338 0.677
0.338 0.662 0.000
0.662 0.338 0.000
0.662 0.662 0.323
0.666 0.000 0.666
```

Calculated total energy (computed, eV for the cell shown): -39.22, -51.69, -97.67, -22.20, -58.01, -30.39, -50.41, -72.62